# NdYHf2Sb2 (GGA-PBE, optimized geometry)
data_NdYHf2Sb2
_space_group_name_H-M_alt 'P 1'
_space_group_IT_number 1
_space_group_name_Hall 'P 1'
_cell_length_a 8.910
_cell_length_b 8.910
_cell_length_c 8.910
_cell_angle_alpha 152.06
_cell_angle_beta 152.06
_cell_angle_gamma 39.93
loop_
_atom_site_label
_atom_site_type_symbol
_atom_site_fract_x
_atom_site_fract_y
_atom_site_fract_z
Nd1 Nd 0.000 0.000 0.000
Y1 Y 0.647 0.647 0.000
Hf1 Hf 0.321 0.821 0.500
Hf2 Hf 0.821 0.321 0.500
Sb1 Sb 0.193 0.193 0.000
Sb2 Sb 0.450 0.450 0.000
# Raw total energy: -43.69 eV per cell
# Space group: No. 107